(1)
# Mg5Mo (GGA-PBEsol, optimized geometry)
# Total magnetization (μB/cell): 13.3
# ΔH_f (0 K) (meV per atom): 528
data_Mg5Mo
_chemical_formula_sum 'Mg20 Mo4'
_cell_length_a 7.911
_cell_length_b 7.911
_cell_length_c 7.911
_cell_angle_alpha 90.00
_cell_angle_beta 90.00
_cell_angle_gamma 90.00
_symmetry_space_group_name_H-M 'F -4 3 m'
_symmetry_Int_Tables_number 216
_symmetry_space_group_name_Hall 'F -4 2 3'
loop_
_atom_site_label
_atom_site_fract_x
_atom_site_fract_y
_atom_site_fract_z
Mg1 0.000 0.000 0.000
Mg2 0.124 0.124 0.376
Mo1 0.250 0.250 0.750


(2)
# MgMo3 (GGA-PBEsol, optimized geometry)
# Offset from the most stable computed form (eV/atom): 0.000
# Total magnetization (μB/cell): 0.0
# ΔH_f (0 K) (meV per atom): 425
data_MgMo3
_chemical_formula_sum 'Mg4 Mo12'
_cell_length_a 6.293
_cell_length_b 6.293
_cell_length_c 6.293
_cell_angle_alpha 90.00
_cell_angle_beta 90.00
_cell_angle_gamma 90.00
_symmetry_space_group_name_H-M 'F m -3 m'
_symmetry_Int_Tables_number 225
_symmetry_space_group_name_Hall '-F 4 2 3'
loop_
_atom_site_label
_atom_site_fract_x
_atom_site_fract_y
_atom_site_fract_z
Mg1 0.000 0.000 0.000
Mo1 0.000 0.000 0.500
Mo2 0.250 0.250 0.250


(3)
# MgMo (GGA-PBEsol, optimized geometry)
# Offset from the most stable computed form (eV/atom): 2.480
# Total magnetization (μB/cell): 16.5
# ΔH_f (0 K) (meV per atom): 2871
data_MgMo
_chemical_formula_sum 'Mg4 Mo4'
_cell_length_a 6.371
_cell_length_b 6.371
_cell_length_c 6.371
_cell_angle_alpha 90.00
_cell_angle_beta 90.00
_cell_angle_gamma 90.00
_symmetry_space_group_name_H-M 'F -4 3 m'
_symmetry_Int_Tables_number 216
_symmetry_space_group_name_Hall 'F -4 2 3'
loop_
_atom_site_label
_atom_site_fract_x
_atom_site_fract_y
_atom_site_fract_z
Mg1 0.000 0.000 0.000
Mo1 0.250 0.250 0.750


(4)
# MgMo (GGA-PBEsol, optimized geometry)
# Offset from the most stable computed form (eV/atom): 0.106
# Total magnetization (μB/cell): 0.0
# ΔH_f (0 K) (meV per atom): 497
data_MgMo
_chemical_formula_sum 'Mg3 Mo3'
_cell_length_a 2.8154
_cell_length_b 2.8154
_cell_length_c 14.6230
_cell_angle_alpha 90.00
_cell_angle_beta 90.00
_cell_angle_gamma 120.00
_symmetry_space_group_name_H-M 'R -3 m'
_symmetry_Int_Tables_number 166
_symmetry_space_group_name_Hall '-R 3 2"'
loop_
_atom_site_label
_atom_site_fract_x
_atom_site_fract_y
_atom_site_fract_z
Mg1 0.0000 0.0000 0.0000
Mo1 0.0000 0.0000 0.5000


(5)
# Mg3MoN4 (GGA-PBEsol, optimized geometry)
# Offset from the most stable computed form (eV/atom): 0.000
# Total magnetization (μB/cell): 0.0
# Formation energy without anion corrections (eV per atom): -0.92
data_Mg3MoN4
_chemical_formula_sum 'Mg6 Mo2 N8'
_cell_length_a 6.732
_cell_length_b 5.821
_cell_length_c 5.206
_cell_angle_alpha 90.00
_cell_angle_beta 90.00
_cell_angle_gamma 90.00
_symmetry_space_group_name_H-M 'P m n 21'
_symmetry_Int_Tables_number 31
_symmetry_space_group_name_Hall 'P 2ac -2'
loop_
_atom_site_label
_atom_site_fract_x
_atom_site_fract_y
_atom_site_fract_z
Mg1 0.000 0.161 0.000
Mg2 0.248 0.331 0.501
Mo1 0.000 0.829 0.510
N1 0.000 0.134 0.405
N2 0.000 0.827 0.863
N3 0.230 0.678 0.404


(6)
# Mg3MoN4 (GGA-PBEsol, optimized geometry)
# Offset from the most stable computed form (eV/atom): 0.022
# Total magnetization (μB/cell): 0.0
# Formation energy without anion corrections (eV per atom): -0.90
data_Mg3MoN4
_chemical_formula_sum 'Mg12 Mo4 N16'
_cell_length_a 8.983
_cell_length_b 7.132
_cell_length_c 6.039
_cell_angle_alpha 90.00
_cell_angle_beta 90.30
_cell_angle_gamma 90.00
_symmetry_space_group_name_H-M 'C 1 2/m 1'
_symmetry_Int_Tables_number 12
_symmetry_space_group_name_Hall '-C 2y'
loop_
_atom_site_label
_atom_site_fract_x
_atom_site_fract_y
_atom_site_fract_z
Mg1 0.114 0.000 0.324
Mg2 0.119 0.267 0.832
Mo1 0.165 0.500 0.331
N1 0.124 0.275 0.180
N2 0.126 0.000 0.680
N3 0.140 0.500 0.634


(7)
# MgMoNO2 (GGA-PBEsol, optimized geometry)
# Total magnetization (μB/cell): 0.0
# Formation energy without anion corrections (eV per atom): -1.31
data_MgMoNO2
_chemical_formula_sum 'Mg1 Mo1 N1 O2'
_cell_length_a 3.820
_cell_length_b 3.820
_cell_length_c 3.971
_cell_angle_alpha 90.00
_cell_angle_beta 90.00
_cell_angle_gamma 90.00
_symmetry_space_group_name_H-M 'P 4/m m m'
_symmetry_Int_Tables_number 123
_symmetry_space_group_name_Hall '-P 4 2'
loop_
_atom_site_label
_atom_site_fract_x
_atom_site_fract_y
_atom_site_fract_z
Mg1 0.000 0.000 0.000
Mo1 0.500 0.500 0.500
N1 0.500 0.500 0.000
O1 0.000 0.500 0.500


(8)
# MgMoSe2N (GGA-PBEsol, optimized geometry)
# Total magnetization (μB/cell): 0.0
# Formation energy without anion corrections (eV per atom): -0.19
data_MgMoSe2N
_chemical_formula_sum 'Mg1 Mo1 Se2 N1'
_cell_length_a 5.040
_cell_length_b 5.040
_cell_length_c 3.751
_cell_angle_alpha 90.00
_cell_angle_beta 90.00
_cell_angle_gamma 90.00
_symmetry_space_group_name_H-M 'P 4/m m m'
_symmetry_Int_Tables_number 123
_symmetry_space_group_name_Hall '-P 4 2'
loop_
_atom_site_label
_atom_site_fract_x
_atom_site_fract_y
_atom_site_fract_z
Mg1 0.000 0.000 0.000
Mo1 0.500 0.500 0.500
Se1 0.000 0.500 0.500
N1 0.500 0.500 0.000